Entry 1:
! LiCd2Hg | Alexandria | SCAN | single point on PBEsol structure; values from VASP
! DOS(E_F): 0.298 states/eV/atom
! space-group type: Cm
&SYSTEM
  ibrav = 0, nat = 4, ntyp = 3
/
ATOMIC_SPECIES
Li 6.94 Li.upf
Cd 112.41 Cd.upf
Hg 200.59 Hg.upf
ATOMIC_POSITIONS angstrom
Li 0.0000 0.0000 0.0000
Cd 1.7089 0.0000 3.8292
Cd 4.3248 0.0000 2.5629
Hg 6.9362 0.0000 1.1427
CELL_PARAMETERS angstrom
4.8046 -1.6084 0.0000
4.8046 1.6084 0.0000
-0.9364 0.0000 5.1638


Entry 2:
! LiCd2Hg | Alexandria | SCAN | single point on PBEsol structure; values from VASP
! DOS(E_F): 0.295 states/eV/atom
! space-group type: P4/mmm
&SYSTEM
  ibrav = 0, nat = 4, ntyp = 3
/
ATOMIC_SPECIES
Li 6.94 Li.upf
Cd 112.41 Cd.upf
Hg 200.59 Hg.upf
ATOMIC_POSITIONS angstrom
Li 0.0000 0.0000 0.0000
Cd 1.7876 1.7876 1.4364
Cd 1.7876 1.7876 4.6747
Hg 0.0000 0.0000 3.0555
CELL_PARAMETERS angstrom
3.5751 0.0000 0.0000
0.0000 3.5751 0.0000
0.0000 0.0000 6.1110


Entry 3:
! Li2CdHg | Alexandria | SCAN | single point on PBEsol structure; values from VASP
! DOS(E_F): 0.309 states/eV/atom
! relative energy among the computed polymorphs: 0.007 eV per atom
! space-group type: Fm-3m
&SYSTEM
  ibrav = 0, nat = 4, ntyp = 3
/
ATOMIC_SPECIES
Li 6.94 Li.upf
Cd 112.41 Cd.upf
Hg 200.59 Hg.upf
ATOMIC_POSITIONS angstrom
Li 1.6229 1.6229 1.6229
Li 4.8686 4.8686 4.8686
Cd 0.0000 0.0000 0.0000
Hg 3.2457 3.2457 3.2457
CELL_PARAMETERS angstrom
0.0000 3.2457 3.2457
3.2457 0.0000 3.2457
3.2457 3.2457 0.0000


Entry 4:
! LiCdHg | Alexandria | SCAN | single point on PBEsol structure; values from VASP
! DOS(E_F): 0.245 states/eV/atom
! relative energy among the computed polymorphs: 0.000 eV per atom
! space-group type: Imm2
&SYSTEM
  ibrav = 0, nat = 3, ntyp = 3
/
ATOMIC_SPECIES
Li 6.94 Li.upf
Cd 112.41 Cd.upf
Hg 200.59 Hg.upf
ATOMIC_POSITIONS angstrom
Li 0.0000 0.0000 0.0000
Cd 0.0000 0.0000 3.0438
Hg 0.0000 0.0000 5.9381
CELL_PARAMETERS angstrom
-1.7313 1.7847 4.5497
1.7313 -1.7847 4.5497
1.7313 1.7847 -4.5497


| no. | ΔE_f (eV per atom) | final energy (eV per atom) |
| --- | --- | --- |
| 1 | -0.182 | -33.03 |
| 2 | -0.203 | -33.05 |
| 3 | -0.381 | -26.22 |
| 4 | -0.312 | -33.97 |